! GGA-PBEsol AgTe, relaxed; values from VASP
&SYSTEM
  ibrav = 0, nat = 4, ntyp = 2
/
ATOMIC_SPECIES
Ag 107.87 Ag.upf
Te 127.60 Te.upf
CELL_PARAMETERS angstrom
4.190 0.000 0.000
-2.095 3.628 0.000
0.000 0.000 6.546
ATOMIC_POSITIONS angstrom
Ag 0.000 2.419 4.910
Ag 2.095 1.209 1.637
Te 0.000 0.000 3.273
Te 0.000 0.000 0.000
! - magnetization (Bohr magnetons per cell) = 0.00
! - SG = No. 194
! - E_form (uncorrected) (eV per atom) = 0.094
! - density (kg/m3) = 7858
! - crystal system = hexagonal

! GGA-PBEsol TlAg2Te, relaxed; values from VASP
&SYSTEM
  ibrav = 0, nat = 4, ntyp = 3
/
ATOMIC_SPECIES
Ag 107.87 Ag.upf
Te 127.60 Te.upf
Tl 204.38 Tl.upf
CELL_PARAMETERS angstrom
3.294 0.000 0.000
1.647 2.853 0.000
1.647 0.951 9.614
ATOMIC_POSITIONS angstrom
Ag 1.647 0.951 9.405
Ag 4.941 2.853 7.384
Te 3.294 1.902 5.109
Tl 1.647 0.951 2.138
! - excess energy over the best structure of this formula in the dataset (eV per atom) = 0.044
! - magnetization (Bohr magnetons per cell) = 0.00
! - SG = No. 160
! - E_form (uncorrected) (eV per atom) = 0.158
! - density (kg/m3) = 10066
! - crystal system = trigonal

! GGA-PBEsol Tl4Ag18Te11, relaxed; values from VASP
&SYSTEM
  ibrav = 0, nat = 66, ntyp = 3
/
ATOMIC_SPECIES
Ag 107.87 Ag.upf
Te 127.60 Te.upf
Tl 204.38 Tl.upf
CELL_PARAMETERS angstrom
-3.649 -0.043 -12.450
-8.112 -4.366 9.152
-10.584 6.843 3.078
ATOMIC_POSITIONS angstrom
Ag -8.403 -0.379 -0.708
Ag -16.536 1.842 -0.227
Ag -12.696 -0.075 -5.637
Ag -7.225 -2.689 -2.034
Ag -13.264 2.481 -7.024
Ag -18.244 -0.209 -1.412
Ag -9.629 -1.458 4.321
Ag -15.644 2.811 -5.359
Ag -4.541 -1.686 -1.280
Ag -5.186 -2.185 1.527
Ag -15.357 5.616 -3.772
Ag -11.027 2.507 0.606
Ag -10.156 1.028 2.973
Ag -12.179 1.425 -3.195
Ag -7.229 2.127 3.801
Ag -10.435 -1.468 1.569
Ag -11.905 3.915 -1.790
Ag -4.889 0.614 3.120
Ag -9.521 -4.376 4.332
Ag -12.712 3.905 -4.542
Ag -15.110 0.318 -4.025
Ag -5.801 0.604 0.009
Ag -17.450 1.831 -3.344
Ag -7.785 -3.181 0.798
Ag -10.345 -4.386 1.521
Ag -6.777 -1.713 -8.910
Ag -6.978 -3.172 3.550
Ag -14.550 5.625 -1.020
Ag -14.196 0.329 -0.907
Ag -15.854 -1.754 -2.107
Ag -13.930 2.831 0.488
Ag -8.628 -2.706 -6.820
Ag -8.141 2.116 0.689
Ag -6.690 -0.359 5.134
Ag -17.146 4.637 -1.750
Ag -11.294 -0.059 -0.851
Te -6.347 -0.089 -2.795
Te -7.483 -0.103 -6.670
Te -7.611 -0.478 2.232
Te -12.361 5.166 0.695
Te -16.357 -0.973 0.601
Te -13.041 -1.251 -2.933
Te -18.510 1.164 5.421
Te -10.777 2.027 -5.712
Te -3.270 -0.195 0.959
Te -14.439 5.141 -6.395
Te -11.559 0.424 5.489
Te -14.851 2.552 6.447
Te -12.694 0.410 1.616
Te -9.641 2.041 -1.837
Te -14.092 -0.947 8.330
Te -9.298 3.702 2.712
Te -14.727 2.922 -2.453
Te -15.986 2.539 2.574
Te -9.973 -2.717 -0.913
Te -19.062 2.642 -1.182
Te -7.898 -2.692 6.169
Te -11.940 -3.084 3.510
Tl -9.579 -0.741 -3.950
Tl -13.387 -2.795 0.343
Tl -11.750 -4.391 -3.301
Tl -19.008 0.840 1.978
Tl -17.070 0.863 8.591
Tl -14.831 -0.298 4.348
Tl -11.449 -2.772 6.955
Tl -12.722 3.248 3.717
! - magnetization (Bohr magnetons per cell) = 0.00
! - SG = No. 107
! - E_form (uncorrected) (eV per atom) = -0.102
! - density (kg/m3) = 8936
! - crystal system = tetragonal

! GGA-PBEsol TlAg2Te, relaxed; values from VASP
&SYSTEM
  ibrav = 0, nat = 4, ntyp = 3
/
ATOMIC_SPECIES
Tl 204.38 Tl.upf
Ag 107.87 Ag.upf
Te 127.60 Te.upf
CELL_PARAMETERS angstrom
-0.018 2.732 1.403
-3.653 -0.786 1.484
3.086 -3.053 5.982
ATOMIC_POSITIONS angstrom
Tl 0.601 -1.437 6.166
Ag 0.121 -0.120 0.235
Ag -1.149 0.294 2.774
Te 1.385 -1.370 2.685
! - excess energy over the best structure of this formula in the dataset (eV per atom) = 0.000
! - magnetization (Bohr magnetons per cell) = 0.00
! - SG = No. 25
! - E_form (uncorrected) (eV per atom) = 0.114
! - density (kg/m3) = 9963
! - crystal system = orthorhombic

! GGA-PBEsol TmAgTe2, relaxed; values from VASP
&SYSTEM
  ibrav = 0, nat = 4, ntyp = 3
/
ATOMIC_SPECIES
Ag 107.87 Ag.upf
Tm 168.93 Tm.upf
Te 127.60 Te.upf
CELL_PARAMETERS angstrom
-0.786 -4.151 0.482
3.945 1.493 0.535
-1.282 1.013 6.625
ATOMIC_POSITIONS angstrom
Ag -0.641 0.506 3.313
Tm 0.000 0.000 0.000
Te 2.037 -0.127 2.228
Te -0.160 -1.518 5.415
! - magnetization (Bohr magnetons per cell) = 0.00
! - SG = No. 164
! - E_form (uncorrected) (eV per atom) = -0.858
! - density (kg/m3) = 8269
! - crystal system = trigonal

! GGA-PBEsol TmAgTe2, relaxed; values from VASP
&SYSTEM
  ibrav = 0, nat = 8, ntyp = 3
/
ATOMIC_SPECIES
Tm 168.93 Tm.upf
Te 127.60 Te.upf
Ag 107.87 Ag.upf
CELL_PARAMETERS angstrom
4.647 0.000 0.000
0.000 6.866 0.000
0.000 0.000 6.866
ATOMIC_POSITIONS angstrom
Tm 0.838 0.000 3.433
Tm 3.809 3.433 0.000
Te 1.400 2.045 1.388
Te 3.247 1.388 4.822
Te 1.400 4.822 5.478
Te 3.247 5.478 2.045
Ag 0.000 3.433 3.433
Ag 0.000 0.000 0.000
! - magnetization (Bohr magnetons per cell) = 0.00
! - SG = No. 113
! - E_form (uncorrected) (eV per atom) = -0.869
! - density (kg/m3) = 8063
! - crystal system = tetragonal